[1]
The following is a DFT calculation (PBE) of a relaxed Nd2DyHoEr6 crystal.

a b c (Å): 8.721 8.721 9.644
angles (deg): 94.66 94.66 118.12
Sites, in units of the cell vectors:
Nd  0.193  0.297  0.043
Nd  0.297  0.193  0.543
Nd  0.703  0.807  0.457
Nd  0.807  0.703  0.957
Dy  0.018  0.982  0.250
Dy  0.982  0.018  0.750
Ho  0.407  0.593  0.750
Ho  0.593  0.407  0.250
Er  0.023  0.576  0.187
Er  0.125  0.744  0.557
Er  0.256  0.875  0.943
Er  0.292  0.504  0.381
Er  0.424  0.977  0.313
Er  0.496  0.708  0.119
Er  0.504  0.292  0.881
Er  0.576  0.023  0.687
Er  0.708  0.496  0.619
Er  0.744  0.125  0.057
Er  0.875  0.256  0.443
Er  0.977  0.424  0.813

Formation enthalpy at 0 K   11.37 kJ per mole of atoms
Final energy   -4.49 eV per atom
Symmetry   C2/c (15)
Magnetization   0.000 μB/atom

[2]
The following is a DFT calculation (PBE) of a relaxed Zr4CoOs3 crystal.

a b c (Å): 3.259 3.259 13.170
angles (deg): 90.00 90.00 90.00
Sites, in units of the cell vectors:
Zr  0.000  0.000  0.121
Zr  0.000  0.000  0.374
Zr  0.000  0.000  0.626
Zr  0.000  0.000  0.879
Co  0.500  0.500  0.000
Os  0.500  0.500  0.247
Os  0.500  0.500  0.500
Os  0.500  0.500  0.753

Formation enthalpy at 0 K   -44.05 kJ per mole of atoms
Final energy   -9.83 eV per atom
Symmetry   P4/mmm (123)
Magnetization   0.162 μB/atom

[3]
The following is a DFT calculation (PBE) of a relaxed Al4Zn2Ag crystal.

a b c (Å): 5.502 5.502 5.502
angles (deg): 103.04 103.04 123.27
Sites, in units of the cell vectors:
Al  0.202  0.202  0.404
Al  0.202  0.798  0.000
Al  0.798  0.202  0.000
Al  0.798  0.798  0.596
Zn  0.250  0.750  0.500
Zn  0.750  0.250  0.500
Ag  0.500  0.500  0.000

Formation enthalpy at 0 K   13.37 kJ per mole of atoms
Final energy   -2.77 eV per atom
Symmetry   I4/mmm (139)
Excess energy over the best structure of this formula in the dataset   0.039 eV per atom
Magnetization   0.000 μB/atom

[4]
The following is a DFT calculation (PBE) of a relaxed KBaTl2 crystal.

a b c (Å): 11.578 11.578 11.578
angles (deg): 20.47 20.47 20.47
Sites, in units of the cell vectors:
K  0.000  0.000  0.000
Ba  0.500  0.500  0.500
Tl  0.248  0.248  0.248
Tl  0.752  0.752  0.752

Formation enthalpy at 0 K   -6.97 kJ per mole of atoms
Final energy   -2.01 eV per atom
Symmetry   R-3m (166)
Excess energy over the best structure of this formula in the dataset   0.143 eV per atom
Magnetization   0.000 μB/atom

[5]
The following is a DFT calculation (PBE) of a relaxed Nd2MgOs crystal.

a b c (Å): 10.568 10.568 10.568
angles (deg): 22.09 22.09 22.09
Sites, in units of the cell vectors:
Nd  0.116  0.116  0.116
Nd  0.884  0.884  0.884
Mg  0.000  0.000  0.000
Os  0.500  0.500  0.500

Formation enthalpy at 0 K   30.40 kJ per mole of atoms
Final energy   -5.27 eV per atom
Symmetry   R-3m (166)
Magnetization   0.000 μB/atom

[6]
The following is a DFT calculation (PBE) of a relaxed Y5ErTmTh2 crystal.

a b c (Å): 9.967 9.967 9.967
angles (deg): 128.26 128.26 76.21
Sites, in units of the cell vectors:
Y  0.000  0.000  0.000
Y  0.071  0.571  0.923
Y  0.148  0.071  0.500
Y  0.352  0.852  0.923
Y  0.429  0.352  0.500
Y  0.500  0.500  0.000
Y  0.571  0.648  0.500
Y  0.648  0.148  0.077
Y  0.852  0.929  0.500
Y  0.929  0.429  0.077
Er  0.250  0.750  0.500
Er  0.750  0.250  0.500
Tm  0.250  0.250  0.000
Tm  0.750  0.750  0.000
Th  0.120  0.380  0.500
Th  0.380  0.880  0.261
Th  0.620  0.120  0.739
Th  0.880  0.620  0.500

Formation enthalpy at 0 K   33.07 kJ per mole of atoms
Final energy   -5.90 eV per atom
Symmetry   I4/mcm (140)
Magnetization   0.000 μB/atom

[7]
The following is a DFT calculation (PBE) of a relaxed AcDyPd6 crystal.

a b c (Å): 4.241 4.241 8.365
angles (deg): 90.00 90.00 90.00
Sites, in units of the cell vectors:
Ac  0.000  0.000  0.000
Dy  0.000  0.000  0.500
Pd  0.000  0.500  0.263
Pd  0.000  0.500  0.737
Pd  0.500  0.000  0.263
Pd  0.500  0.000  0.737
Pd  0.500  0.500  0.000
Pd  0.500  0.500  0.500

Formation enthalpy at 0 K   -76.47 kJ per mole of atoms
Final energy   -5.78 eV per atom
Symmetry   P4/mmm (123)
Magnetization   0.000 μB/atom

[8]
The following is a DFT calculation (PBE) of a relaxed Pm2DyGe3Pt4 crystal.

a b c (Å): 4.302 4.302 11.187
angles (deg): 90.00 90.00 90.00
Sites, in units of the cell vectors:
Pm  0.000  0.500  0.221
Pm  0.500  0.000  0.779
Dy  0.000  0.000  0.500
Ge  0.000  0.500  0.877
Ge  0.500  0.000  0.123
Ge  0.500  0.500  0.500
Pt  0.000  0.000  0.000
Pt  0.000  0.500  0.657
Pt  0.500  0.000  0.343
Pt  0.500  0.500  0.000

Formation enthalpy at 0 K   -93.05 kJ per mole of atoms
Final energy   -6.18 eV per atom
Symmetry   P-4m2 (115)
Magnetization   0.000 μB/atom

[9]
The following is a DFT calculation (PBE) of a relaxed DyLu2Rh crystal.

a b c (Å): 3.435 3.435 8.430
angles (deg): 90.00 90.00 90.00
Sites, in units of the cell vectors:
Dy  0.000  0.000  0.000
Lu  0.500  0.500  0.311
Lu  0.500  0.500  0.689
Rh  0.000  0.000  0.500

Formation enthalpy at 0 K   -45.69 kJ per mole of atoms
Final energy   -5.72 eV per atom
Symmetry   P4/mmm (123)
Magnetization   0.000 μB/atom

[10]
The following is a DFT calculation (PBE) of a relaxed CeHgPtRh crystal.

a b c (Å): 4.820 4.820 4.820
angles (deg): 60.00 60.00 60.00
Sites, in units of the cell vectors:
Ce  0.000  0.000  0.000
Hg  0.500  0.500  0.500
Pt  0.750  0.750  0.750
Rh  0.250  0.250  0.250

Formation enthalpy at 0 K   -54.45 kJ per mole of atoms
Final energy   -5.47 eV per atom
Symmetry   F-43m (216)
Magnetization   0.014 μB/atom

[11]
The following is a DFT calculation (PBE) of a relaxed Dy3Ir crystal.

a b c (Å): 7.223 9.312 6.377
angles (deg): 90.00 90.00 90.00
Sites, in units of the cell vectors:
Dy  0.034  0.250  0.133
Dy  0.177  0.063  0.674
Dy  0.177  0.437  0.674
Dy  0.323  0.563  0.174
Dy  0.323  0.937  0.174
Dy  0.466  0.750  0.633
Dy  0.534  0.250  0.367
Dy  0.677  0.063  0.826
Dy  0.677  0.437  0.826
Dy  0.823  0.563  0.326
Dy  0.823  0.937  0.326
Dy  0.966  0.750  0.867
Ir  0.117  0.750  0.452
Ir  0.383  0.250  0.952
Ir  0.617  0.750  0.048
Ir  0.883  0.250  0.548

Formation enthalpy at 0 K   -56.06 kJ per mole of atoms
Final energy   -6.25 eV per atom
Symmetry   Pnma (62)
Magnetization   0.000 μB/atom

[12]
The following is a DFT calculation (PBE) of a relaxed PrDyTl2 crystal.

a b c (Å): 5.469 5.469 5.469
angles (deg): 60.00 60.00 60.00
Sites, in units of the cell vectors:
Pr  0.000  0.000  0.000
Dy  0.500  0.500  0.500
Tl  0.250  0.250  0.250
Tl  0.750  0.750  0.750

Formation enthalpy at 0 K   -35.06 kJ per mole of atoms
Final energy   -3.89 eV per atom
Symmetry   Fm-3m (225)
Excess energy over the best structure of this formula in the dataset   0.013 eV per atom
Magnetization   0.000 μB/atom

[13]
The following is a DFT calculation (PBE) of a relaxed ZnTc2Mo crystal.

a b c (Å): 9.198 9.198 9.198
angles (deg): 17.28 17.28 17.28
Sites, in units of the cell vectors:
Zn  0.000  0.000  0.000
Tc  0.250  0.250  0.250
Tc  0.505  0.505  0.505
Mo  0.753  0.753  0.753

Formation enthalpy at 0 K   9.87 kJ per mole of atoms
Final energy   -8.11 eV per atom
Symmetry   R3m (160)
Magnetization   0.000 μB/atom

[14]
The following is a DFT calculation (PBE) of a relaxed TlZnRe2 crystal.

a b c (Å): 4.401 4.401 6.619
angles (deg): 101.63 101.63 37.43
Sites, in units of the cell vectors:
Tl  0.000  0.000  0.000
Zn  0.751  0.751  0.291
Re  0.267  0.267  0.673
Re  0.497  0.497  0.509

Formation enthalpy at 0 K   66.63 kJ per mole of atoms
Final energy   -6.44 eV per atom
Symmetry   Cm (8)
Excess energy over the best structure of this formula in the dataset   0.316 eV per atom
Magnetization   0.000 μB/atom

[15]
The following is a DFT calculation (PBE) of a relaxed LaCu2Re crystal.

a b c (Å): 5.631 5.631 5.631
angles (deg): 150.32 127.47 61.50
Sites, in units of the cell vectors:
La  0.000  0.000  0.000
Cu  0.514  0.514  0.000
Cu  0.727  0.227  0.500
Re  0.282  0.782  0.500

Formation enthalpy at 0 K   48.59 kJ per mole of atoms
Final energy   -5.89 eV per atom
Symmetry   Imm2 (44)
Excess energy over the best structure of this formula in the dataset   0.134 eV per atom
Magnetization   0.000 μB/atom

[16]
The following is a DFT calculation (PBE) of a relaxed KZr2Fe crystal.

a b c (Å): 5.601 5.601 5.601
angles (deg): 133.40 133.40 68.02
Sites, in units of the cell vectors:
K  0.000  0.000  0.000
Zr  0.250  0.750  0.500
Zr  0.500  0.500  0.000
Fe  0.750  0.250  0.500

Formation enthalpy at 0 K   110.49 kJ per mole of atoms
Final energy   -5.52 eV per atom
Symmetry   I-4m2 (119)
Excess energy over the best structure of this formula in the dataset   0.834 eV per atom
Magnetization   0.618 μB/atom

[17]
The following is a DFT calculation (PBE) of a relaxed Cs2MnCoSe4 crystal.

a b c (Å): 14.813 13.136 7.903
angles (deg): 85.69 62.17 32.14
Sites, in units of the cell vectors:
Cs  0.053  0.053  0.697
Cs  0.303  0.303  0.947
Cs  0.697  0.697  0.053
Cs  0.947  0.947  0.303
Mn  0.125  0.125  0.125
Mn  0.875  0.875  0.875
Co  0.375  0.375  0.375
Co  0.625  0.625  0.625
Se  0.018  0.335  0.413
Se  0.266  0.587  0.665
Se  0.335  0.018  0.734
Se  0.413  0.734  0.018
Se  0.587  0.266  0.982
Se  0.665  0.982  0.266
Se  0.734  0.413  0.335
Se  0.982  0.665  0.587

Final energy   -4.75 eV per atom
Formation energy from raw total energies   -0.765 eV per atom
Symmetry   Fddd (70)
Magnetization   0.001 μB/atom

[18]
The following is a DFT calculation (PBE) of a relaxed HfNbMo2 crystal.

a b c (Å): 4.621 4.621 3.285
angles (deg): 90.00 90.00 90.00
Sites, in units of the cell vectors:
Hf  0.000  0.000  0.000
Nb  0.500  0.500  0.000
Mo  0.000  0.500  0.500
Mo  0.500  0.000  0.500

Formation enthalpy at 0 K   -5.60 kJ per mole of atoms
Final energy   -10.48 eV per atom
Symmetry   P4/mmm (123)
Excess energy over the best structure of this formula in the dataset   0.021 eV per atom
Magnetization   0.000 μB/atom

[19]
The following is a DFT calculation (PBE) of a relaxed TcGeAs2Br crystal.

a b c (Å): 4.983 4.983 5.094
angles (deg): 90.00 90.00 90.00
Sites, in units of the cell vectors:
Tc  0.000  0.000  0.000
Ge  0.500  0.500  0.500
As  0.000  0.500  0.500
As  0.500  0.000  0.500
Br  0.500  0.500  0.000

Final energy   -4.02 eV per atom
Formation energy from raw total energies   1.174 eV per atom
Symmetry   P4/mmm (123)
Excess energy over the best structure of this formula in the dataset   0.651 eV per atom
Magnetization   0.706 μB/atom

[20]
The following is a DFT calculation (PBE) of a relaxed LiPO2 crystal.

a b c (Å): 5.691 5.691 5.691
angles (deg): 28.79 28.79 28.79
Sites, in units of the cell vectors:
Li  0.000  0.000  0.000
P  0.500  0.500  0.500
O  0.406  0.406  0.406
O  0.594  0.594  0.594

Final energy   -5.71 eV per atom
Formation energy from raw total energies   -1.398 eV per atom
Symmetry   R-3m (166)
Magnetization   0.000 μB/atom

[21]
The following is a DFT calculation (PBE) of a relaxed SiBP2Au crystal.

a b c (Å): 3.371 4.549 5.844
angles (deg): 109.96 102.27 98.01
Sites, in units of the cell vectors:
Si  0.000  0.000  0.000
B  0.677  0.692  0.367
P  0.226  0.942  0.375
P  0.569  0.340  0.031
Au  0.611  0.499  0.667

Final energy   -5.34 eV per atom
Formation energy from raw total energies   -0.104 eV per atom
Symmetry   P1 (1)
Excess energy over the best structure of this formula in the dataset   0.000 eV per atom
Magnetization   0.000 μB/atom

[22]
The following is a DFT calculation (PBE) of a relaxed HfMgC3 crystal.

a b c (Å): 3.922 3.922 3.922
angles (deg): 90.00 90.00 90.00
Sites, in units of the cell vectors:
Hf  0.000  0.000  0.000
Mg  0.500  0.500  0.500
C  0.000  0.500  0.500
C  0.500  0.000  0.500
C  0.500  0.500  0.000

Formation enthalpy at 0 K   197.88 kJ per mole of atoms
Final energy   -5.79 eV per atom
Symmetry   Pm-3m (221)
Excess energy over the best structure of this formula in the dataset   0.380 eV per atom
Magnetization   0.000 μB/atom

[23]
The following is a DFT calculation (PBE) of a relaxed La2Sm2ThMg5 crystal.

a b c (Å): 10.671 10.671 5.234
angles (deg): 90.00 90.00 90.00
Sites, in units of the cell vectors:
La  0.176  0.324  0.000
La  0.324  0.824  0.000
La  0.676  0.176  0.000
La  0.824  0.676  0.000
Sm  0.123  0.623  0.000
Sm  0.377  0.123  0.000
Sm  0.623  0.877  0.000
Sm  0.877  0.377  0.000
Th  0.000  0.000  0.000
Th  0.500  0.500  0.000
Mg  0.000  0.500  0.500
Mg  0.073  0.803  0.500
Mg  0.197  0.073  0.500
Mg  0.303  0.573  0.500
Mg  0.427  0.303  0.500
Mg  0.500  0.000  0.500
Mg  0.573  0.697  0.500
Mg  0.697  0.427  0.500
Mg  0.803  0.927  0.500
Mg  0.927  0.197  0.500

Formation enthalpy at 0 K   5.45 kJ per mole of atoms
Final energy   -3.41 eV per atom
Symmetry   P4/mbm (127)
Magnetization   0.000 μB/atom

[24]
The following is a DFT calculation (PBE) of a relaxed MgTe2PdN crystal.

a b c (Å): 5.523 5.523 3.788
angles (deg): 90.00 90.00 90.00
Sites, in units of the cell vectors:
Mg  0.000  0.000  0.000
Te  0.000  0.500  0.000
Te  0.500  0.000  0.000
Pd  0.500  0.500  0.500
N  0.000  0.000  0.500

Final energy   -3.53 eV per atom
Formation energy from raw total energies   0.745 eV per atom
Symmetry   P4/mmm (123)
Excess energy over the best structure of this formula in the dataset   0.358 eV per atom
Magnetization   0.331 μB/atom

[25]
The following is a DFT calculation (PBE) of a relaxed AgAsCBr2 crystal.

a b c (Å): 5.350 5.350 5.029
angles (deg): 90.00 90.00 90.00
Sites, in units of the cell vectors:
Ag  0.000  0.000  0.000
As  0.000  0.000  0.500
C  0.500  0.500  0.500
Br  0.000  0.500  0.000
Br  0.500  0.000  0.000

Final energy   -2.21 eV per atom
Formation energy from raw total energies   1.806 eV per atom
Symmetry   P4/mmm (123)
Excess energy over the best structure of this formula in the dataset   0.707 eV per atom
Magnetization   0.540 μB/atom